Record 1
# KRbPd3 | Alexandria | PBE | relaxed
data_KRbPd3
_chemical_formula_sum 'K2 Rb2 Pd6'
_cell_length_a 8.402
_cell_length_b 8.402
_cell_length_c 8.402
_cell_angle_alpha 44.92
_cell_angle_beta 44.92
_cell_angle_gamma 44.92
_symmetry_space_group_name_H-M 'P 1'
_symmetry_Int_Tables_number 1
_symmetry_space_group_name_Hall 'P 1'
loop_
_atom_site_label
_atom_site_type_symbol
_atom_site_fract_x
_atom_site_fract_y
_atom_site_fract_z
K1 K 0.083 0.083 0.083
K2 K 0.917 0.917 0.917
Rb1 Rb 0.353 0.353 0.353
Rb2 Rb 0.647 0.647 0.647
Pd1 Pd 0.079 0.657 0.657
Pd2 Pd 0.343 0.343 0.921
Pd3 Pd 0.343 0.921 0.343
Pd4 Pd 0.657 0.079 0.657
Pd5 Pd 0.657 0.657 0.079
Pd6 Pd 0.921 0.343 0.343
# M_tot: 0.00 Bohr magnetons per cell
# space group: No. 166
# energy: -3.330 eV/atom
# calculated density: 5.48 g/cm3
# excess energy over the best structure of this formula in the dataset: 0.0 meV/atom
# formation enthalpy at 0 K: 0.199 eV/atom

Record 2
# K5Rb8Pd | Alexandria | PBE | relaxed
data_K5Rb8Pd
_chemical_formula_sum 'K5 Rb8 Pd1'
_cell_length_a 11.113
_cell_length_b 11.113
_cell_length_c 11.113
_cell_angle_alpha 107.03
_cell_angle_beta 107.03
_cell_angle_gamma 114.47
_symmetry_space_group_name_H-M 'P 1'
_symmetry_Int_Tables_number 1
_symmetry_space_group_name_Hall 'P 1'
loop_
_atom_site_label
_atom_site_type_symbol
_atom_site_fract_x
_atom_site_fract_y
_atom_site_fract_z
K1 K 0.000 0.000 0.000
K2 K 0.188 0.285 0.775
K3 K 0.510 0.413 0.225
K4 K 0.587 0.812 0.097
K5 K 0.715 0.490 0.903
Rb1 Rb 0.029 0.621 0.705
Rb2 Rb 0.187 0.592 0.161
Rb3 Rb 0.379 0.085 0.408
Rb4 Rb 0.408 0.569 0.595
Rb5 Rb 0.431 0.026 0.839
Rb6 Rb 0.677 0.971 0.592
Rb7 Rb 0.915 0.323 0.295
Rb8 Rb 0.974 0.813 0.405
Pd1 Pd 0.250 0.750 0.500
# M_tot: 0.00 Bohr magnetons per cell
# space group: No. 82
# energy: -1.260 eV/atom
# calculated density: 1.56 g/cm3
# formation enthalpy at 0 K: 0.056 eV/atom

Record 3
# K8Rb5Pd | Alexandria | PBE | relaxed
data_K8Rb5Pd
_chemical_formula_sum 'K8 Rb5 Pd1'
_cell_length_a 10.973
_cell_length_b 10.973
_cell_length_c 10.973
_cell_angle_alpha 110.16
_cell_angle_beta 110.16
_cell_angle_gamma 108.11
_symmetry_space_group_name_H-M 'P 1'
_symmetry_Int_Tables_number 1
_symmetry_space_group_name_Hall 'P 1'
loop_
_atom_site_label
_atom_site_type_symbol
_atom_site_fract_x
_atom_site_fract_y
_atom_site_fract_z
K1 K 0.120 0.211 0.784
K2 K 0.325 0.654 0.130
K3 K 0.346 0.477 0.671
K4 K 0.427 0.337 0.216
K5 K 0.523 0.195 0.870
K6 K 0.663 0.880 0.091
K7 K 0.789 0.573 0.909
K8 K 0.805 0.675 0.329
Rb1 Rb 0.001 0.352 0.208
Rb2 Rb 0.144 0.793 0.792
Rb3 Rb 0.207 0.999 0.351
Rb4 Rb 0.648 0.856 0.649
Rb5 Rb 0.750 0.250 0.500
Pd1 Pd 0.500 0.500 0.000
# M_tot: 0.00 Bohr magnetons per cell
# space group: No. 82
# energy: -1.299 eV/atom
# calculated density: 1.38 g/cm3
# formation enthalpy at 0 K: 0.045 eV/atom

Record 4
# KRb2Pd2 | Alexandria | PBE | relaxed
data_KRb2Pd2
_chemical_formula_sum 'K2 Rb4 Pd4'
_cell_length_a 8.421
_cell_length_b 8.421
_cell_length_c 5.226
_cell_angle_alpha 90.00
_cell_angle_beta 90.00
_cell_angle_gamma 90.00
_symmetry_space_group_name_H-M 'P 1'
_symmetry_Int_Tables_number 1
_symmetry_space_group_name_Hall 'P 1'
loop_
_atom_site_label
_atom_site_type_symbol
_atom_site_fract_x
_atom_site_fract_y
_atom_site_fract_z
K1 K 0.000 0.000 0.000
K2 K 0.500 0.500 0.000
Rb1 Rb 0.164 0.336 0.500
Rb2 Rb 0.336 0.836 0.500
Rb3 Rb 0.664 0.164 0.500
Rb4 Rb 0.836 0.664 0.500
Pd1 Pd 0.112 0.612 0.000
Pd2 Pd 0.388 0.112 0.000
Pd3 Pd 0.612 0.888 0.000
Pd4 Pd 0.888 0.388 0.000
# M_tot: 0.00 Bohr magnetons per cell
# space group: No. 127
# energy: -2.511 eV/atom
# calculated density: 3.79 g/cm3
# excess energy over the best structure of this formula in the dataset: 0.0 meV/atom
# formation enthalpy at 0 K: 0.173 eV/atom

Record 5
# K5Rb12Pd2 | Alexandria | PBE | relaxed
data_K5Rb12Pd2
_chemical_formula_sum 'K5 Rb12 Pd2'
_cell_length_a 8.431
_cell_length_b 12.716
_cell_length_c 12.888
_cell_angle_alpha 92.55
_cell_angle_beta 92.50
_cell_angle_gamma 91.19
_symmetry_space_group_name_H-M 'P 1'
_symmetry_Int_Tables_number 1
_symmetry_space_group_name_Hall 'P 1'
loop_
_atom_site_label
_atom_site_type_symbol
_atom_site_fract_x
_atom_site_fract_y
_atom_site_fract_z
K1 K 0.000 0.000 0.000
K2 K 0.209 0.401 0.541
K3 K 0.304 0.755 0.440
K4 K 0.696 0.245 0.560
K5 K 0.791 0.599 0.459
Rb1 Rb 0.013 0.366 0.894
Rb2 Rb 0.148 0.693 0.786
Rb3 Rb 0.172 0.062 0.650
Rb4 Rb 0.338 0.092 0.286
Rb5 Rb 0.397 0.459 0.219
Rb6 Rb 0.491 0.249 0.937
Rb7 Rb 0.509 0.751 0.063
Rb8 Rb 0.603 0.541 0.781
Rb9 Rb 0.662 0.908 0.714
Rb10 Rb 0.828 0.938 0.350
Rb11 Rb 0.852 0.307 0.214
Rb12 Rb 0.987 0.634 0.106
Pd1 Pd 0.347 0.521 0.969
Pd2 Pd 0.653 0.479 0.031
# M_tot: 0.00 Bohr magnetons per cell
# space group: No. 2
# energy: -1.403 eV/atom
# calculated density: 1.73 g/cm3
# formation enthalpy at 0 K: 0.044 eV/atom

Record 6
# K7Rb12Pd | Alexandria | PBE | relaxed
data_K7Rb12Pd
_chemical_formula_sum 'K7 Rb12 Pd1'
_cell_length_a 15.007
_cell_length_b 15.007
_cell_length_c 15.007
_cell_angle_alpha 116.55
_cell_angle_beta 116.55
_cell_angle_gamma 116.55
_symmetry_space_group_name_H-M 'P 1'
_symmetry_Int_Tables_number 1
_symmetry_space_group_name_Hall 'P 1'
loop_
_atom_site_label
_atom_site_type_symbol
_atom_site_fract_x
_atom_site_fract_y
_atom_site_fract_z
K1 K 0.000 0.000 0.000
K2 K 0.199 0.403 0.403
K3 K 0.403 0.199 0.403
K4 K 0.403 0.403 0.199
K5 K 0.597 0.597 0.801
K6 K 0.597 0.801 0.597
K7 K 0.801 0.597 0.597
Rb1 Rb 0.000 0.411 0.589
Rb2 Rb 0.000 0.589 0.411
Rb3 Rb 0.040 0.040 0.385
Rb4 Rb 0.040 0.385 0.040
Rb5 Rb 0.385 0.040 0.040
Rb6 Rb 0.411 0.000 0.589
Rb7 Rb 0.411 0.589 0.000
Rb8 Rb 0.589 0.000 0.411
Rb9 Rb 0.589 0.411 0.000
Rb10 Rb 0.615 0.960 0.960
Rb11 Rb 0.960 0.615 0.960
Rb12 Rb 0.960 0.960 0.615
Pd1 Pd 0.500 0.500 0.500
# M_tot: 0.00 Bohr magnetons per cell
# space group: No. 166
# energy: -1.181 eV/atom
# calculated density: 1.47 g/cm3
# formation enthalpy at 0 K: 0.044 eV/atom

Record 7
# KRbPd2 | Alexandria | PBE | relaxed
data_KRbPd2
_chemical_formula_sum 'K4 Rb4 Pd8'
_cell_length_a 7.723
_cell_length_b 7.723
_cell_length_c 7.723
_cell_angle_alpha 90.00
_cell_angle_beta 90.00
_cell_angle_gamma 90.00
_symmetry_space_group_name_H-M 'P 1'
_symmetry_Int_Tables_number 1
_symmetry_space_group_name_Hall 'P 1'
loop_
_atom_site_label
_atom_site_type_symbol
_atom_site_fract_x
_atom_site_fract_y
_atom_site_fract_z
K1 K 0.000 0.000 0.000
K2 K 0.000 0.500 0.500
K3 K 0.500 0.000 0.500
K4 K 0.500 0.500 0.000
Rb1 Rb 0.000 0.000 0.500
Rb2 Rb 0.000 0.500 0.000
Rb3 Rb 0.500 0.000 0.000
Rb4 Rb 0.500 0.500 0.500
Pd1 Pd 0.250 0.250 0.250
Pd2 Pd 0.250 0.250 0.750
Pd3 Pd 0.250 0.750 0.250
Pd4 Pd 0.250 0.750 0.750
Pd5 Pd 0.750 0.250 0.250
Pd6 Pd 0.750 0.250 0.750
Pd7 Pd 0.750 0.750 0.250
Pd8 Pd 0.750 0.750 0.750
# M_tot: 0.00 Bohr magnetons per cell
# space group: No. 225
# energy: -2.706 eV/atom
# calculated density: 4.86 g/cm3
# excess energy over the best structure of this formula in the dataset: 0.0 meV/atom
# formation enthalpy at 0 K: 0.406 eV/atom

Record 8
# K12Rb5Pd2 | Alexandria | PBE | relaxed
data_K12Rb5Pd2
_chemical_formula_sum 'K12 Rb5 Pd2'
_cell_length_a 8.315
_cell_length_b 11.828
_cell_length_c 12.955
_cell_angle_alpha 91.21
_cell_angle_beta 90.62
_cell_angle_gamma 96.84
_symmetry_space_group_name_H-M 'P 1'
_symmetry_Int_Tables_number 1
_symmetry_space_group_name_Hall 'P 1'
loop_
_atom_site_label
_atom_site_type_symbol
_atom_site_fract_x
_atom_site_fract_y
_atom_site_fract_z
K1 K 0.005 0.055 0.269
K2 K 0.130 0.785 0.446
K3 K 0.176 0.699 0.118
K4 K 0.300 0.340 0.046
K5 K 0.344 0.233 0.696
K6 K 0.489 0.077 0.368
K7 K 0.511 0.923 0.632
K8 K 0.656 0.767 0.304
K9 K 0.700 0.660 0.954
K10 K 0.824 0.301 0.882
K11 K 0.870 0.215 0.554
K12 K 0.995 0.945 0.731
Rb1 Rb 0.215 0.593 0.776
Rb2 Rb 0.276 0.405 0.406
Rb3 Rb 0.500 0.000 0.000
Rb4 Rb 0.724 0.595 0.594
Rb5 Rb 0.785 0.407 0.224
Pd1 Pd 0.155 0.054 0.515
Pd2 Pd 0.845 0.946 0.485
# M_tot: 0.00 Bohr magnetons per cell
# space group: No. 2
# energy: -1.465 eV/atom
# calculated density: 1.46 g/cm3
# formation enthalpy at 0 K: 0.029 eV/atom

Record 9
# K4Rb2Pd | Alexandria | PBE | relaxed
data_K4Rb2Pd
_chemical_formula_sum 'K8 Rb4 Pd2'
_cell_length_a 23.246
_cell_length_b 5.034
_cell_length_c 7.843
_cell_angle_alpha 90.00
_cell_angle_beta 96.98
_cell_angle_gamma 90.00
_symmetry_space_group_name_H-M 'P 1'
_symmetry_Int_Tables_number 1
_symmetry_space_group_name_Hall 'P 1'
loop_
_atom_site_label
_atom_site_type_symbol
_atom_site_fract_x
_atom_site_fract_y
_atom_site_fract_z
K1 K 0.062 0.000 0.204
K2 K 0.090 0.500 0.723
K3 K 0.410 0.000 0.277
K4 K 0.438 0.500 0.796
K5 K 0.562 0.500 0.204
K6 K 0.590 0.000 0.723
K7 K 0.910 0.500 0.277
K8 K 0.938 0.000 0.796
Rb1 Rb 0.228 0.500 0.245
Rb2 Rb 0.272 0.000 0.755
Rb3 Rb 0.728 0.000 0.245
Rb4 Rb 0.772 0.500 0.755
Pd1 Pd 0.000 0.500 0.000
Pd2 Pd 0.500 0.000 0.000
# M_tot: 0.00 Bohr magnetons per cell
# space group: No. 12
# energy: -1.592 eV/atom
# calculated density: 1.58 g/cm3
# excess energy over the best structure of this formula in the dataset: 0.0 meV/atom
# formation enthalpy at 0 K: 0.053 eV/atom

Record 10
# KRbPd4 | Alexandria | PBE | relaxed
data_KRbPd4
_chemical_formula_sum 'K1 Rb1 Pd4'
_cell_length_a 5.662
_cell_length_b 5.662
_cell_length_c 5.662
_cell_angle_alpha 60.00
_cell_angle_beta 60.00
_cell_angle_gamma 60.00
_symmetry_space_group_name_H-M 'P 1'
_symmetry_Int_Tables_number 1
_symmetry_space_group_name_Hall 'P 1'
loop_
_atom_site_label
_atom_site_type_symbol
_atom_site_fract_x
_atom_site_fract_y
_atom_site_fract_z
K1 K 0.000 0.000 0.000
Rb1 Rb 0.750 0.750 0.750
Pd1 Pd 0.375 0.375 0.375
Pd2 Pd 0.375 0.375 0.876
Pd3 Pd 0.375 0.876 0.375
Pd4 Pd 0.876 0.375 0.375
# M_tot: 0.00 Bohr magnetons per cell
# space group: No. 216
# energy: -3.772 eV/atom
# calculated density: 7.12 g/cm3
# formation enthalpy at 0 K: 0.034 eV/atom

Record 11
# K7Rb3Pd | Alexandria | PBE | relaxed
data_K7Rb3Pd
_chemical_formula_sum 'K7 Rb3 Pd1'
_cell_length_a 8.637
_cell_length_b 8.637
_cell_length_c 11.298
_cell_angle_alpha 100.54
_cell_angle_beta 100.54
_cell_angle_gamma 97.29
_symmetry_space_group_name_H-M 'P 1'
_symmetry_Int_Tables_number 1
_symmetry_space_group_name_Hall 'P 1'
loop_
_atom_site_label
_atom_site_type_symbol
_atom_site_fract_x
_atom_site_fract_y
_atom_site_fract_z
K1 K 0.000 0.000 0.000
K2 K 0.013 0.550 0.006
K3 K 0.328 0.674 0.711
K4 K 0.550 0.013 0.006
K5 K 0.550 0.550 0.087
K6 K 0.674 0.328 0.711
K7 K 0.774 0.774 0.617
Rb1 Rb 0.175 0.175 0.705
Rb2 Rb 0.352 0.945 0.357
Rb3 Rb 0.945 0.352 0.357
Pd1 Pd 0.696 0.696 0.875
# M_tot: 0.00 Bohr magnetons per cell
# space group: No. 8
# energy: -1.366 eV/atom
# calculated density: 1.32 g/cm3
# formation enthalpy at 0 K: 0.068 eV/atom

Record 12
# K8Rb2Pd | Alexandria | PBE | relaxed
data_K8Rb2Pd
_chemical_formula_sum 'K8 Rb2 Pd1'
_cell_length_a 8.364
_cell_length_b 8.364
_cell_length_c 12.204
_cell_angle_alpha 104.97
_cell_angle_beta 104.97
_cell_angle_gamma 66.16
_symmetry_space_group_name_H-M 'P 1'
_symmetry_Int_Tables_number 1
_symmetry_space_group_name_Hall 'P 1'
loop_
_atom_site_label
_atom_site_type_symbol
_atom_site_fract_x
_atom_site_fract_y
_atom_site_fract_z
K1 K 0.195 0.705 0.811
K2 K 0.265 0.265 0.980
K3 K 0.295 0.805 0.189
K4 K 0.365 0.365 0.356
K5 K 0.635 0.635 0.644
K6 K 0.705 0.195 0.811
K7 K 0.735 0.735 0.020
K8 K 0.805 0.295 0.189
Rb1 Rb 0.167 0.167 0.579
Rb2 Rb 0.833 0.833 0.421
Pd1 Pd 0.500 0.500 0.000
# M_tot: 0.00 Bohr magnetons per cell
# space group: No. 12
# energy: -1.411 eV/atom
# calculated density: 1.32 g/cm3
# formation enthalpy at 0 K: 0.035 eV/atom

Among the records above, which one has the lowest formation enthalpy at 0 K? K12Rb5Pd2